Arrangement a

5
Lattice="4.7499 0.0000 0.0000 0.0000 4.7499 0.0000 0.0000 0.0000 4.7499" Properties=species:S:1:pos:R:3 comment="GGA-PBE Re3PPt, relaxed" density_g_cm3=12.159 pbc="T T T"
Pt 0.0000 0.0000 0.0000
P 2.3750 2.3750 2.3750
Re 0.0000 2.3750 0.0000
Re 2.3750 0.0000 0.0000
Re 0.0000 0.0000 2.3750

Arrangement b

5
Lattice="4.3430 0.0000 0.0000 0.0000 4.3430 0.0000 0.0000 0.0000 4.3430" Properties=species:S:1:pos:R:3 comment="GGA-PBE Re3PPt, relaxed" density_g_cm3=15.906 pbc="T T T"
Pt 2.1715 2.1715 2.1715
Re 0.0000 0.0000 2.1715
Re 0.0000 2.1715 0.0000
Re 2.1715 0.0000 0.0000
P 0.0000 0.0000 0.0000

Least stable = arrangement a

Arrangement a

5
Lattice="4.5759 0.0000 0.0000 0.0000 4.5759 0.0000 0.0000 0.0000 4.5759" Properties=species:S:1:pos:R:3 comment="GGA-PBE ReP3Pt, relaxed" density_g_cm3=8.218 pbc="T T T"
P 2.2880 0.0000 0.0000
P 0.0000 2.2880 0.0000
P 0.0000 0.0000 2.2880
Pt 2.2880 2.2880 2.2880
Re 0.0000 0.0000 0.0000

Arrangement b

5
Lattice="4.5534 0.0000 0.0000 0.0000 4.5534 0.0000 0.0000 0.0000 4.5534" Properties=species:S:1:pos:R:3 comment="GGA-PBE ReP3Pt, relaxed" density_g_cm3=8.341 pbc="T T T"
Re 2.2767 2.2767 2.2767
P 2.2767 0.0000 0.0000
P 0.0000 0.0000 2.2767
P 0.0000 2.2767 0.0000
Pt 0.0000 0.0000 0.0000

Least stable = arrangement b

Arrangement a

5
Lattice="4.6831 0.0000 0.0000 0.0000 4.6831 0.0000 0.0000 0.0000 4.6242" Properties=species:S:1:pos:R:3 comment="GGA-PBE RePPtS2, relaxed" density_g_cm3=7.800 pbc="T T T"
S 2.3415 0.0000 0.0000
S 0.0000 2.3415 0.0000
Re 2.3415 2.3415 2.3121
P 0.0000 0.0000 2.3121
Pt 0.0000 0.0000 0.0000

Arrangement b

5
Lattice="-3.0811 -0.3602 -3.2091 1.0861 -4.2927 -0.5610 -3.3253 -1.2773 3.3361" Properties=species:S:1:pos:R:3 comment="GGA-PBE RePPtS2, relaxed" density_g_cm3=8.137 pbc="T T T"
S -1.5406 -0.1801 -1.6046
S 0.5431 -2.1463 -0.2805
Pt -2.6602 -2.9651 -0.2170
P -1.6627 -0.6386 1.6680
Re 0.0000 0.0000 0.0000

Arrangement c

5
Lattice="4.4059 0.0000 0.0000 0.0000 5.3454 0.0000 0.0000 0.0000 4.4059" Properties=species:S:1:pos:R:3 comment="GGA-PBE RePPtS2, relaxed" density_g_cm3=7.624 pbc="T T T"
P 2.2029 2.6727 2.2029
Re 0.0000 0.0000 0.0000
Pt 0.0000 2.6727 0.0000
S 2.2029 0.0000 0.0000
S 0.0000 0.0000 2.2029

Least stable = arrangement a

Arrangement a

4
Lattice="-1.3040 0.2647 2.7557 0.9937 -2.7986 0.7391 5.1309 2.4020 2.1972" Properties=species:S:1:pos:R:3 comment="GGA-PBE P2PtRh, relaxed" density_g_cm3=10.503 pbc="T T T"
P 2.6205 1.2268 1.1222
P 5.0758 2.3762 2.1736
Pt 1.1276 -0.6664 2.2967
Rh 3.6930 0.5346 3.3953

Arrangement b

4
Lattice="0.0000 3.0516 3.0516 3.0516 0.0000 3.0516 3.0516 3.0516 0.0000" Properties=species:S:1:pos:R:3 comment="GGA-PBE P2PtRh, relaxed" density_g_cm3=10.516 pbc="T T T"
P 4.5774 4.5774 4.5774
P 1.5258 1.5258 1.5258
Rh 0.0000 0.0000 0.0000
Pt 3.0516 3.0516 3.0516

Arrangement c

4
Lattice="-2.5175 -2.1356 -0.9130 2.2102 -1.7875 -1.9135 1.0450 -2.9103 3.9258" Properties=species:S:1:pos:R:3 comment="GGA-PBE P2PtRh, relaxed" density_g_cm3=10.190 pbc="T T T"
P 0.1771 -2.8827 -0.1707
P 0.9748 -2.7148 3.6621
Pt 0.4711 -1.3120 1.7697
Rh 0.6822 -4.2894 1.7269

Arrangement d

8
Lattice="5.3066 0.0000 0.0000 0.0000 5.3066 0.0000 2.6533 2.6533 5.3011" Properties=species:S:1:pos:R:3 comment="GGA-PBE P2PtRh, relaxed" density_g_cm3=8.008 pbc="T T T"
P 1.3676 3.9800 1.3253
P 3.9800 4.0209 3.9758
P 6.6333 6.5923 3.9758
P 3.9390 1.3267 1.3253
Pt 5.3066 2.6533 2.6505
Pt 0.0000 0.0000 0.0000
Rh 2.6533 2.6533 0.0000
Rh 2.6533 5.3066 2.6505

Least stable = arrangement b

Arrangement a

4
Lattice="3.9286 0.0819 0.2345 -1.9889 4.3248 0.4451 -0.0492 1.2990 3.7200" Properties=species:S:1:pos:R:3 comment="GGA-PBE P2PtRh, relaxed" density_g_cm3=9.801 pbc="T T T"
Rh 0.9699 2.2033 0.3398
P 0.0000 0.0000 0.0000
P 1.9397 0.6904 1.9772
Pt -1.0191 2.8119 2.0826

Arrangement b

4
Lattice="4.3671 0.0000 0.0000 2.1836 3.7820 0.0000 2.1836 1.2607 3.5657" Properties=species:S:1:pos:R:3 comment="GGA-PBE P2PtRh, relaxed" density_g_cm3=10.149 pbc="T T T"
Rh 2.1836 1.2607 0.8914
P 0.0000 0.0000 0.0000
P 6.5507 3.7820 2.6743
Pt 4.3671 2.5214 1.7829

Least stable = arrangement b

Arrangement a

4
Lattice="-0.8318 5.0933 -0.2871 -1.8322 2.4202 4.1834 3.8249 -2.8530 -1.9864" Properties=species:S:1:pos:R:3 comment="GGA-PBE P2PtRh, relaxed" density_g_cm3=10.271 pbc="T T T"
Pt -1.3799 3.8918 2.0182
P 0.8392 2.9740 -0.1753
P -0.0274 0.0772 0.0400
Rh 0.3969 1.4742 1.9752

Arrangement b

4
Lattice="7.3106 -0.0236 -0.0141 6.6730 2.9862 -0.0141 6.6730 1.4137 2.6303" Properties=species:S:1:pos:R:3 comment="GGA-PBE P2PtRh, relaxed" density_g_cm3=10.282 pbc="T T T"
P 10.3115 2.1846 1.2990
P 0.0168 0.0036 0.0021
Pt 5.1642 1.0941 0.6506
Rh 15.4925 3.2822 1.9517

Least stable = arrangement a